# HfThNi2, optimized geometry, DFT PBE
# * SG: R-3m (166)
# * total DFT energy (no corrections): -30.48 eV for the cell shown
# * density of states at the Fermi level: 0.540 states/eV per atom
# * V: 78.78 Å³ per cell
# * energy above the lowest structure with this stoichiometry: 0 meV per atom
data_HfThNi2
_chemical_formula_sum 'Hf1 Th1 Ni2'
_space_group_name_H-M_alt 'P 1'
_space_group_IT_number 1
_space_group_name_Hall 'P 1'
_cell_length_a 4.427
_cell_length_b 4.429
_cell_length_c 5.296
_cell_angle_alpha 65.32
_cell_angle_beta 65.29
_cell_angle_gamma 60.01
loop_
_atom_site_label
_atom_site_fract_x
_atom_site_fract_y
_atom_site_fract_z
Hf1 0.000 0.500 0.500
Th1 0.500 0.000 0.000
Ni1 0.707 0.207 0.378
Ni2 0.293 0.793 0.622

---

# HfThNi, optimized geometry, DFT PBE
# * SG: I4mm (107)
# * total DFT energy (no corrections): -23.67 eV for the cell shown
# * density of states at the Fermi level: 1.626 states/eV per atom
# * V: 64.99 Å³ per cell
data_HfThNi
_chemical_formula_sum 'Hf1 Th1 Ni1'
_space_group_name_H-M_alt 'P 1'
_space_group_IT_number 1
_space_group_name_Hall 'P 1'
_cell_length_a 3.327
_cell_length_b 3.327
_cell_length_c 6.325
_cell_angle_alpha 105.25
_cell_angle_beta 105.25
_cell_angle_gamma 90.00
loop_
_atom_site_label
_atom_site_fract_x
_atom_site_fract_y
_atom_site_fract_z
Ni1 0.692 0.692 0.385
Hf1 0.299 0.299 0.598
Th1 0.009 0.009 0.017

---

# HfThNi2, optimized geometry, DFT PBE
# * SG: P2_1/m (11)
# * total DFT energy (no corrections): -60.87 eV for the cell shown
# * density of states at the Fermi level: 0.840 states/eV per atom
# * V: 155.83 Å³ per cell
# * energy above the lowest structure with this stoichiometry: 12 meV per atom
data_HfThNi2
_chemical_formula_sum 'Hf2 Th2 Ni4'
_space_group_name_H-M_alt 'P 1'
_space_group_IT_number 1
_space_group_name_Hall 'P 1'
_cell_length_a 4.506
_cell_length_b 5.466
_cell_length_c 6.921
_cell_angle_alpha 113.90
_cell_angle_beta 90.00
_cell_angle_gamma 90.00
loop_
_atom_site_label
_atom_site_fract_x
_atom_site_fract_y
_atom_site_fract_z
Hf1 0.750 0.783 0.400
Hf2 0.250 0.217 0.600
Th1 0.250 0.288 0.120
Th2 0.750 0.712 0.880
Ni1 0.250 0.833 0.213
Ni2 0.750 0.167 0.787
Ni3 0.750 0.317 0.443
Ni4 0.250 0.683 0.557

---

# HfTh2Ni, optimized geometry, DFT PBE
# * SG: R-3m (166)
# * total DFT energy (no corrections): -29.15 eV for the cell shown
# * density of states at the Fermi level: 1.329 states/eV per atom
# * V: 101.38 Å³ per cell
# * energy above the lowest structure with this stoichiometry: 405 meV per atom
data_HfTh2Ni
_chemical_formula_sum 'Hf1 Th2 Ni1'
_space_group_name_H-M_alt 'P 1'
_space_group_IT_number 1
_space_group_name_Hall 'P 1'
_cell_length_a 3.382
_cell_length_b 3.382
_cell_length_c 10.417
_cell_angle_alpha 80.66
_cell_angle_beta 80.66
_cell_angle_gamma 60.00
loop_
_atom_site_label
_atom_site_fract_x
_atom_site_fract_y
_atom_site_fract_z
Ni1 0.500 0.500 0.500
Hf1 0.000 0.000 0.000
Th1 0.099 0.099 0.702
Th2 0.901 0.901 0.298

---

# HfTh2Ni, optimized geometry, DFT PBE
# * SG: P4/mmm (123)
# * total DFT energy (no corrections): -30.77 eV for the cell shown
# * density of states at the Fermi level: 1.007 states/eV per atom
# * V: 98.40 Å³ per cell
# * energy above the lowest structure with this stoichiometry: 0 meV per atom
data_HfTh2Ni
_chemical_formula_sum 'Hf1 Th2 Ni1'
_space_group_name_H-M_alt 'P 1'
_space_group_IT_number 1
_space_group_name_Hall 'P 1'
_cell_length_a 3.447
_cell_length_b 3.447
_cell_length_c 8.281
_cell_angle_alpha 90.00
_cell_angle_beta 90.00
_cell_angle_gamma 90.00
loop_
_atom_site_label
_atom_site_fract_x
_atom_site_fract_y
_atom_site_fract_z
Ni1 0.500 0.500 0.000
Hf1 0.500 0.500 0.500
Th1 0.000 0.000 0.787
Th2 0.000 0.000 0.213

---

# HfThNi3, optimized geometry, DFT PBE
# * SG: Cmcm (63)
# * total DFT energy (no corrections): -73.80 eV for the cell shown
# * density of states at the Fermi level: 0.903 states/eV per atom
# * V: 175.19 Å³ per cell
data_HfThNi3
_chemical_formula_sum 'Hf2 Th2 Ni6'
_space_group_name_H-M_alt 'P 1'
_space_group_IT_number 1
_space_group_name_Hall 'P 1'
_cell_length_a 3.877
_cell_length_b 3.570
_cell_length_c 12.783
_cell_angle_alpha 98.03
_cell_angle_beta 90.00
_cell_angle_gamma 90.00
loop_
_atom_site_label
_atom_site_fract_x
_atom_site_fract_y
_atom_site_fract_z
Hf1 0.250 0.791 0.583
Hf2 0.750 0.209 0.417
Th1 0.250 0.076 0.152
Th2 0.750 0.924 0.848
Ni1 0.250 0.373 0.746
Ni2 0.750 0.627 0.254
Ni3 0.250 0.471 0.941
Ni4 0.750 0.529 0.059
Ni5 0.750 0.313 0.625
Ni6 0.250 0.687 0.375

---

# Hf2Th2Ni15, optimized geometry, DFT PBE
# * SG: R-3m (166)
# * total DFT energy (no corrections): -128.18 eV for the cell shown
# * density of states at the Fermi level: 1.223 states/eV per atom
# * V: 262.22 Å³ per cell
data_Hf2Th2Ni15
_chemical_formula_sum 'Hf2 Th2 Ni15'
_space_group_name_H-M_alt 'P 1'
_space_group_IT_number 1
_space_group_name_Hall 'P 1'
_cell_length_a 6.464
_cell_length_b 6.464
_cell_length_c 6.464
_cell_angle_alpha 81.59
_cell_angle_beta 81.59
_cell_angle_gamma 81.59
loop_
_atom_site_label
_atom_site_fract_x
_atom_site_fract_y
_atom_site_fract_z
Hf1 0.107 0.107 0.107
Hf2 0.893 0.893 0.893
Th1 0.354 0.354 0.354
Th2 0.646 0.646 0.646
Ni1 0.500 0.000 0.000
Ni2 0.000 0.000 0.500
Ni3 0.000 0.500 0.000
Ni4 0.000 0.699 0.301
Ni5 0.699 0.301 0.000
Ni6 0.301 0.000 0.699
Ni7 0.301 0.699 0.000
Ni8 0.699 0.000 0.301
Ni9 0.000 0.301 0.699
Ni10 0.159 0.654 0.654
Ni11 0.654 0.654 0.159
Ni12 0.654 0.159 0.654
Ni13 0.841 0.346 0.346
Ni14 0.346 0.346 0.841
Ni15 0.346 0.841 0.346

---

# HfTi2Ni2, optimized geometry, DFT PBE
# * SG: I4/mmm (139)
# * total DFT energy (no corrections): -37.26 eV for the cell shown
# * density of states at the Fermi level: 1.317 states/eV per atom
# * V: 80.78 Å³ per cell
# * energy above the lowest structure with this stoichiometry: 309 meV per atom
data_HfTi2Ni2
_chemical_formula_sum 'Hf1 Ti2 Ni2'
_space_group_name_H-M_alt 'P 1'
_space_group_IT_number 1
_space_group_name_Hall 'P 1'
_cell_length_a 3.709
_cell_length_b 3.709
_cell_length_c 6.432
_cell_angle_alpha 73.24
_cell_angle_beta 73.24
_cell_angle_gamma 90.00
loop_
_atom_site_label
_atom_site_fract_x
_atom_site_fract_y
_atom_site_fract_z
Ni1 0.750 0.250 0.500
Ni2 0.250 0.750 0.500
Hf1 0.000 0.000 0.000
Ti1 0.385 0.385 0.231
Ti2 0.615 0.615 0.769

---

# Hf2TiNi, optimized geometry, DFT PBE
# * SG: P4/mmm (123)
# * total DFT energy (no corrections): -34.40 eV for the cell shown
# * density of states at the Fermi level: 1.246 states/eV per atom
# * V: 71.30 Å³ per cell
# * energy above the lowest structure with this stoichiometry: 0 meV per atom
data_Hf2TiNi
_chemical_formula_sum 'Hf2 Ti1 Ni1'
_space_group_name_H-M_alt 'P 1'
_space_group_IT_number 1
_space_group_name_Hall 'P 1'
_cell_length_a 3.138
_cell_length_b 3.138
_cell_length_c 7.239
_cell_angle_alpha 90.00
_cell_angle_beta 90.00
_cell_angle_gamma 90.00
loop_
_atom_site_label
_atom_site_fract_x
_atom_site_fract_y
_atom_site_fract_z
Ni1 0.500 0.500 0.000
Hf1 0.000 0.000 0.774
Hf2 0.000 0.000 0.226
Ti1 0.500 0.500 0.500

---

# HfTi2Ni8, optimized geometry, DFT PBE
# * SG: C2/m (12)
# * total DFT energy (no corrections): -76.29 eV for the cell shown
# * density of states at the Fermi level: 0.824 states/eV per atom
# * V: 137.56 Å³ per cell
data_HfTi2Ni8
_chemical_formula_sum 'Hf1 Ti2 Ni8'
_space_group_name_H-M_alt 'P 1'
_space_group_IT_number 1
_space_group_name_Hall 'P 1'
_cell_length_a 3.686
_cell_length_b 5.946
_cell_length_c 6.830
_cell_angle_alpha 106.71
_cell_angle_beta 105.66
_cell_angle_gamma 90.00
loop_
_atom_site_label
_atom_site_fract_x
_atom_site_fract_y
_atom_site_fract_z
Hf1 0.500 0.000 0.000
Ti1 0.778 0.339 0.557
Ti2 0.222 0.661 0.443
Ni1 0.406 0.540 0.811
Ni2 0.683 0.909 0.365
Ni3 0.857 0.808 0.713
Ni4 0.958 0.285 0.917
Ni5 0.143 0.192 0.287
Ni6 0.317 0.091 0.635
Ni7 0.594 0.460 0.189
Ni8 0.042 0.715 0.083

---

# HfTi3Ni6, optimized geometry, DFT PBE
# * SG: P2_1/m (11)
# * total DFT energy (no corrections): -144.43 eV for the cell shown
# * density of states at the Fermi level: 0.766 states/eV per atom
# * V: 270.45 Å³ per cell
data_HfTi3Ni6
_chemical_formula_sum 'Hf2 Ti6 Ni12'
_space_group_name_H-M_alt 'P 1'
_space_group_IT_number 1
_space_group_name_Hall 'P 1'
_cell_length_a 4.141
_cell_length_b 7.554
_cell_length_c 8.816
_cell_angle_alpha 101.30
_cell_angle_beta 90.00
_cell_angle_gamma 90.00
loop_
_atom_site_label
_atom_site_fract_x
_atom_site_fract_y
_atom_site_fract_z
Hf1 0.250 0.931 0.620
Hf2 0.750 0.069 0.380
Ti1 0.250 0.542 0.391
Ti2 0.750 0.458 0.609
Ti3 0.250 0.340 0.815
Ti4 0.750 0.660 0.185
Ti5 0.250 0.759 0.967
Ti6 0.750 0.241 0.033
Ni1 0.250 0.478 0.098
Ni2 0.750 0.522 0.902
Ni3 0.250 0.175 0.211
Ni4 0.750 0.825 0.789
Ni5 0.250 0.608 0.689
Ni6 0.750 0.392 0.311
Ni7 0.250 0.257 0.531
Ni8 0.750 0.743 0.469
Ni9 0.250 0.838 0.282
Ni10 0.750 0.162 0.718
Ni11 0.250 0.068 0.920
Ni12 0.750 0.932 0.080

---

# HfTi2Ni2, optimized geometry, DFT PBE
# * SG: P4/mbm (127)
# * total DFT energy (no corrections): -76.31 eV for the cell shown
# * density of states at the Fermi level: 0.899 states/eV per atom
# * V: 151.49 Å³ per cell
# * energy above the lowest structure with this stoichiometry: 129 meV per atom
data_HfTi2Ni2
_chemical_formula_sum 'Hf2 Ti4 Ni4'
_space_group_name_H-M_alt 'P 1'
_space_group_IT_number 1
_space_group_name_Hall 'P 1'
_cell_length_a 7.311
_cell_length_b 7.311
_cell_length_c 2.834
_cell_angle_alpha 90.00
_cell_angle_beta 90.00
_cell_angle_gamma 90.00
loop_
_atom_site_label
_atom_site_fract_x
_atom_site_fract_y
_atom_site_fract_z
Ni1 0.142 0.642 0.500
Ni2 0.642 0.858 0.500
Ni3 0.858 0.358 0.500
Ni4 0.358 0.142 0.500
Hf1 0.000 0.000 0.000
Hf2 0.500 0.500 0.000
Ti1 0.349 0.849 0.000
Ti2 0.849 0.651 0.000
Ti3 0.651 0.151 0.000
Ti4 0.151 0.349 0.000

---

Q: Among the records above, which one has the lowest total DFT energy (no corrections)?
A: HfTi3Ni6